(1)
Ta2W (PBE, relaxed); space-group type = P6_3/mmc; DFT formation energy = 0.420 eV/atom
1.0
-2.161 3.630 -3.311
-2.677 -1.566 4.381
3.735 6.391 4.568
Ta W
8 4
direct
0.000 0.000 0.000 Ta
0.341 0.171 0.250 Ta
0.829 0.171 0.250 Ta
0.829 0.659 0.250 Ta
0.000 0.000 0.500 Ta
0.171 0.341 0.750 Ta
0.171 0.829 0.750 Ta
0.659 0.829 0.750 Ta
0.333 0.667 0.057 W
0.333 0.667 0.443 W
0.667 0.333 0.557 W
0.667 0.333 0.943 W

=====

(2)
Ta4AlSbN2 (PBE, relaxed); space-group type = P-6m2
1.0
3.211 0.000 0.000
-1.606 2.781 0.000
0.000 0.000 13.393
Al N Sb Ta
1 2 1 4
direct
0.333 0.667 0.000 Al
0.000 0.000 0.248 N
0.000 0.000 0.752 N
0.667 0.333 0.500 Sb
0.667 0.333 0.160 Ta
0.333 0.667 0.331 Ta
0.333 0.667 0.669 Ta
0.667 0.333 0.840 Ta

=====

(3)
La2LuBi3 (PBE, relaxed); space-group type = P-3m1
1.0
4.582 0.000 0.000
-2.291 3.968 0.000
0.000 0.000 11.221
Bi La Lu
3 2 1
direct
0.000 0.000 0.000 Bi
0.333 0.667 0.348 Bi
0.667 0.333 0.652 Bi
0.667 0.333 0.174 La
0.333 0.667 0.826 La
0.000 0.000 0.500 Lu

=====

Number 1: DFT total energy -11.80 eV/atom. Number 2: DFT total energy -9.41 eV/atom. Number 3: DFT total energy -5.37 eV/atom.